Record 1
Entry from the Alexandria database: crystalline KSrTa at its relaxed geometry (PBE).

The space group is P6_3/mmc (No. 194) and the conventional cell measures 6.1296, 6.1296 and 7.1030 Å, with angles of 90.00, 90.00 and 120.00 degrees. The asymmetric unit holds K at (0.0000, 0.0000, 0.0000), Sr at (0.3333, 0.6667, 0.2500) and Ta at (0.3333, 0.6667, 0.7500).

The density of states at the Fermi level comes out at 4.187 states/eV/f.u. The calculation puts the total moment at 3.89 μB per formula unit. Its formation energy from the elements is 4.656 eV/f.u. The value obtained for the offset from the most stable computed form is 1.152 eV per atom.



Record 2
Entry from the Alexandria database: crystalline V8GaCo2 at its relaxed geometry (PBE).

The space group is C2/m (No. 12) and the conventional cell measures 10.9734, 4.9111 and 5.6281 Å, with angles of 90.00, 105.36 and 90.00 degrees. The asymmetric unit holds V at (0.0919, 0.0000, 0.4138), V at (0.0948, 0.2364, 0.9098), V at (0.1992, 0.5000, 0.2884), Ga at (0.0000, 0.5000, 0.5000) and Co at (0.2287, 0.5000, 0.7321).

The density of states at the Fermi level comes out at 12.028 states/eV/f.u. The calculation puts the total moment at 0.00 μB per formula unit. Its formation energy from the elements is 1.131 eV/f.u.